CsPrGeO4 after structural relaxation, computed with PBE.

extended XYZ file:
```
14
Lattice="-0.521 -1.967 5.652 5.977 -0.932 0.226 1.244 8.056 0.330" Properties=species:S:1:pos:R:3 pbc="T T T"
Cs 5.277 5.416 4.403
O 3.515 2.062 0.503
Pr 4.643 1.437 4.766
O 3.186 3.095 5.704
O 2.180 5.007 3.532
Pr 2.059 3.720 1.441
Ge 4.783 1.592 1.689
Ge 1.918 3.565 4.518
Cs 1.424 -0.259 1.805
O 1.756 2.239 3.341
O 6.218 1.641 0.605
O 4.521 0.150 2.675
O 0.484 3.516 5.602
O 4.945 2.918 2.867
```

Calculated values
**Space-group type**: P2_1/m
**Raw formation energy**: -2.33 eV/atom